ScMoPO2, relaxed, DFT PBE+U; SG = P4/mmm (123); DFT total energy = -6.475 eV per atom; ΔE to the lowest computed polymorph = 433 meV per atom
1.0
3.875 0.000 0.000
0.000 3.875 0.000
0.000 0.000 8.332
Sc Mo P O
1 1 1 2
Direct
0.000 0.000 0.000
0.000 0.000 0.500
0.500 0.500 0.500
0.000 0.500 0.000
0.500 0.000 0.000